# 1
A plane-wave DFT calculation with GGA-PBE was carried out for ZnRhPb2 after structural relaxation.

Values from the calculation:
**Calculated total energy**: -16.24 eV/cell
**Space group**: P4mm (99)

The structure in POSCAR format:
```
ZnRhPb2
1.0
-2.8268 -1.6974 0.4526
1.7483 -2.6351 1.0375
-0.4112 2.6935 7.5337
Pb Rh Zn
2 1 1
Cartesian
-0.3890 2.5482 7.1275
-0.6686 -1.3187 3.1157
-0.2266 1.4842 4.1513
-0.8222 -0.3125 5.9300
```

# 2
A plane-wave DFT calculation with GGA-PBE was carried out for ZrRhPb after structural relaxation.

Values from the calculation:
**Calculated total energy**: -20.53 eV/cell
**Space group**: I4mm (107)

The structure in POSCAR format:
```
ZrRhPb
1.0
-1.8390 -1.7088 -5.6456
-3.3888 -3.7672 -3.5354
-2.8665 1.6089 -0.5356
Pb Rh Zr
1 1 1
Cartesian
-5.2053 -5.4086 -9.0987
-3.6108 -0.6244 -3.2607
-4.5059 -3.3101 -6.5380
```

# 3
A plane-wave DFT calculation with GGA-PBE was carried out for ZrRh2Pb after structural relaxation.

Values from the calculation:
**Calculated total energy**: -28.52 eV/cell
**Space group**: Imm2 (44)

The structure in POSCAR format:
```
ZrRh2Pb
1.0
5.3259 -0.0282 -0.0960
2.3310 4.7888 0.0960
-3.7469 -2.5115 2.8335
Pb Rh Zr
1 2 1
Cartesian
1.2073 2.3294 1.4647
0.0016 0.0010 0.0000
2.6874 -0.0899 1.3688
3.8422 2.3888 0.0000
```

# 4
A plane-wave DFT calculation with GGA-PBE was carried out for ZrRhPb2 after structural relaxation.

Values from the calculation:
**Calculated total energy**: -23.19 eV/cell
**Space group**: C2/m (12)

The structure in POSCAR format:
```
ZrRhPb2
1.0
-1.9970 -2.2900 3.6104
-0.8571 -4.4533 1.3042
4.8972 -1.1611 3.5095
Pb Rh Zr
2 1 1
Cartesian
4.7308 -1.1951 3.4592
1.1880 -3.9181 4.2624
1.5324 -5.9283 6.3181
0.5108 -1.9761 2.1060
```

# 5
A plane-wave DFT calculation with GGA-PBE was carried out for Zr2Rh2Pb after structural relaxation.

Values from the calculation:
**Calculated total energy**: -36.78 eV/cell
**Space group**: I4/mmm (139)

The structure in POSCAR format:
```
Zr2Rh2Pb
1.0
-1.1580 -2.7887 -2.4731
3.4569 -1.7720 0.3795
-1.4314 -6.1274 4.4994
Pb Rh Zr
1 2 2
Cartesian
0.0000 0.0000 0.0000
-0.7200 -5.5982 0.4897
1.5875 -5.0899 1.9160
0.5001 -3.2483 0.3487
0.3674 -7.4397 2.0571
```

# 6
A plane-wave DFT calculation with GGA-PBE was carried out for ZrRh2Pb after structural relaxation.

Values from the calculation:
**Calculated total energy**: -28.53 eV/cell
**Space group**: Cmmm (65)

The structure in POSCAR format:
```
ZrRh2Pb
1.0
4.5853 0.0518 0.0000
-0.4851 4.5599 0.0000
0.0000 0.0000 3.4958
Pb Rh Zr
1 2 1
Cartesian
-0.2425 2.2799 1.7479
0.0000 0.0000 0.0000
2.0501 2.3058 0.0000
2.2926 0.0259 1.7479
```

# 7
A plane-wave DFT calculation with GGA-PBE was carried out for ZrRhPb2 after structural relaxation.

Values from the calculation:
**Calculated total energy**: -23.46 eV/cell
**Space group**: Pmmm (47)

The structure in POSCAR format:
```
ZrRhPb2
1.0
4.5371 0.0000 0.0000
0.0000 4.5929 0.0000
0.0000 0.0000 4.1484
Pb Rh Zr
2 1 1
Cartesian
0.0000 0.0000 0.0000
2.2685 2.2965 0.0000
2.2685 0.0000 2.0742
0.0000 2.2965 2.0742
```

# 8
A plane-wave DFT calculation with GGA-PBE was carried out for ZrRhPb2 after structural relaxation.

Values from the calculation:
**Calculated total energy**: -23.39 eV/cell
**Space group**: P2/m (10)

The structure in POSCAR format:
```
ZrRhPb2
1.0
-3.6859 -0.4504 2.5093
1.6230 -2.0649 2.0134
2.0985 4.1787 3.8325
Pb Rh Zr
2 1 1
Cartesian
0.1505 -0.1136 0.2006
1.7103 1.1705 2.7223
-0.9126 0.3032 2.7161
0.9482 1.3602 5.6391
```